Entry 1:
Computed, not measured: a relaxed structure of RbCaNb at the PBE-GGA level of DFT.

Results
Density = 2.5 g/cm³
Distance to the lowest polymorph of the same formula = 1.1780 eV/atom
Formation energy from the elements = 4.570 eV/f.u.

Unit cell a=5.8629 b=5.8629 c=5.8629 alpha=60.00 beta=60.00 gamma=60.00
Closest atoms and distances in Å follow each position.
Element x y z (fractional)
Ca  0.7500  0.7500  0.7500  4 Nb 3.59
Rb  0.2500  0.2500  0.2500  4 Nb 3.59
Nb  0.5000  0.5000  0.5000  4 Ca 3.59, 4 Rb 3.59


Entry 2:
Computed, not measured: a relaxed structure of LaCoSi at the PBE-GGA level of DFT.

Results
E_form (uncorrected) = -0.6714 eV/atom
Density = 6.4 g/cm³

Unit cell a=7.6184 b=6.2642 c=5.9030 alpha=90.00 beta=123.31 gamma=90.00
Closest atoms and distances in Å follow each position.
Element x y z (fractional)
Si  0.5900  0.3634  0.2942  3 Co 2.25-2.31
Si  0.4100  0.6366  0.7058  3 Co 2.25-2.31
Co  0.1714  0.8878  0.6277  3 Si 2.25-2.31
La  0.0924  0.3615  0.7990  2 Co 2.70-2.83
La  0.5924  0.1385  0.7990  2 Co 2.70-2.83
La  0.4076  0.8615  0.2010  2 Co 2.70-2.83
Si  0.0900  0.1366  0.2942  3 Co 2.25-2.31
Co  0.3286  0.3878  0.3723  3 Si 2.25-2.31
La  0.9076  0.6385  0.2010  2 Co 2.70-2.83
Co  0.6714  0.6122  0.6277  3 Si 2.25-2.31
Si  0.9100  0.8634  0.7058  3 Co 2.25-2.31
Co  0.8286  0.1122  0.3723  3 Si 2.25-2.31


Entry 3:
Computed, not measured: a relaxed structure of Cs2TiBiS4 at the PBE-GGA level of DFT.

Results
E_form (uncorrected) = -0.9379 eV/atom
Density = 3.5 g/cm³

Unit cell a=6.9928 b=8.0893 c=12.5537 alpha=83.09 beta=73.83 gamma=64.39
Closest atoms and distances in Å follow each position.
Element x y z (fractional)
Cs  0.8242  0.0000  0.3526  6 S 3.65-4.06
Cs  0.5733  0.5000  0.8526  6 S 3.65-4.06
S  0.3937  0.6980  0.4082  1 Ti 2.28
S  0.5519  0.1979  0.0918  1 Ti 2.28
S  0.3562  0.8020  0.0918  1 Ti 2.28
Cs  0.1759  0.0000  0.6474  6 S 3.65-4.06
S  0.1980  0.3020  0.4082  1 Ti 2.28
Bi  0.7500  0.5000  0.5000  4 S 2.79
Bi  0.0000  0.0001  0.0000  4 S 2.79
S  0.8417  0.8020  0.9083  1 Ti 2.28
Ti  0.5000  0.0000  0.0000  4 S 2.28
S  0.9083  0.6979  0.5918  1 Ti 2.28
S  0.2501  0.1980  0.9083  1 Ti 2.28
Ti  0.2500  0.5000  0.5000  4 S 2.28
S  0.5000  0.3020  0.5918  1 Ti 2.28
Cs  0.9268  0.5000  0.1474  6 S 3.65-4.06